No. 1
First-principles (PBE) data for a relaxed Nd2Hg2Au15 crystal, as listed in the Alexandria database.

CIF file:
```
data_Nd2Hg2Au15
_chemical_formula_sum 'Nd6 Hg6 Au45'
_cell_length_a 9.7243
_cell_length_b 9.7243
_cell_length_c 14.4050
_cell_angle_alpha 90.00
_cell_angle_beta 90.00
_cell_angle_gamma 120.00
_space_group_name_H-M_alt 'R -3 m'
_space_group_IT_number 166
_space_group_name_Hall '-R 3 2"'
loop_
_atom_site_label
_atom_site_type_symbol
_atom_site_fract_x
_atom_site_fract_y
_atom_site_fract_z
Nd1 Nd 0.0000 0.0000 0.1491
Hg1 Hg 0.0000 0.0000 0.3944
Au1 Au 0.0000 0.3122 0.5000
Au2 Au 0.0000 0.5000 0.0000
Au3 Au 0.0131 0.5066 0.6514
```

Properties
VASP energy   -3.377 eV per atom
Crystal system   trigonal


No. 2
First-principles (PBE) data for a relaxed CaBe2Cu crystal, as listed in the Alexandria database.

CIF file:
```
data_CaBe2Cu
_chemical_formula_sum 'Ca2 Be4 Cu2'
_cell_length_a 4.050
_cell_length_b 4.930
_cell_length_c 6.277
_cell_angle_alpha 90.00
_cell_angle_beta 90.00
_cell_angle_gamma 90.00
_space_group_name_H-M_alt 'I m m m'
_space_group_IT_number 71
_space_group_name_Hall '-I 2 2'
loop_
_atom_site_label
_atom_site_type_symbol
_atom_site_fract_x
_atom_site_fract_y
_atom_site_fract_z
Ca1 Ca 0.000 0.000 0.000
Be1 Be 0.000 0.500 0.178
Cu1 Cu 0.000 0.000 0.500
```

Properties
Distance to the lowest polymorph of the same formula   374 meV per atom
VASP energy   -3.037 eV per atom
Crystal system   orthorhombic


No. 3
First-principles (PBE) data for a relaxed CaGeAu crystal, as listed in the Alexandria database.

CIF file:
```
data_CaGeAu
_chemical_formula_sum 'Ca4 Ge4 Au4'
_cell_length_a 4.585
_cell_length_b 7.131
_cell_length_c 7.905
_cell_angle_alpha 90.00
_cell_angle_beta 90.00
_cell_angle_gamma 90.00
_space_group_name_H-M_alt 'I m m 2'
_space_group_IT_number 44
loop_
_space_group_symop_operation_xyz
'x,y,z'
'-x,-y,z'
'-x,y,z'
'x,-y,z'
'x+1/2,y+1/2,z+1/2'
'-x+1/2,-y+1/2,z+1/2'
'-x+1/2,y+1/2,z+1/2'
'x+1/2,-y+1/2,z+1/2'
loop_
_atom_site_label
_atom_site_type_symbol
_atom_site_fract_x
_atom_site_fract_y
_atom_site_fract_z
Ca1 Ca 0.000 0.000 0.000
Ca2 Ca 0.000 0.500 0.067
Ge1 Ge 0.000 0.190 0.366
Au1 Au 0.000 0.278 0.697
```

Properties
VASP energy   -4.022 eV per atom
Crystal system   orthorhombic


Question: Which formula does entry 2 have?
Answer: CaBe2Cu